(1)
DFT (PBE) results for a geometry-optimized BWIN2 structure.

Output
Formation energy from raw total energies in kJ per mole of atoms: 118.3
Energy above the lowest structure with this stoichiometry in eV/f.u.: 0.00
Symmetry: P4/mmm (123)

Cell: 3.9133 3.9133 5.8392 Å, 90.00 90.00 90.00°
Closest atoms and distances in Å follow each position.
Element x y z (fractional)
B1 0.5000 0.5000 0.5000  4 I 2.77
N1 0.0000 0.5000 0.0000  2 W 1.96
N2 0.5000 0.0000 0.0000  2 W 1.96
W1 0.0000 0.0000 0.0000  4 N 1.96
I1 0.0000 0.0000 0.5000  4 B 2.77, 2 W 2.92

=====

(2)
DFT (PBE) results for a geometry-optimized Ba2LiIn structure.

Output
Energy of formation from the pure elements in eV per atom: -0.1814
Symmetry: I-4m2 (119)

Cell: 5.8062 5.8063 5.8099 Å, 119.99 119.99 89.96°
Closest atoms and distances in Å follow each position.
Element x y z (fractional)
In1 0.5001 0.4999 0.0000  4 Li 3.56, 4 Ba 3.56
Ba1 0.9999 0.0001 0.0000  4 Li 3.56, 4 Ba 3.56
Ba2 0.2500 0.7500 0.5000  4 Ba 3.56, 4 In 3.56
Li1 0.7500 0.2500 0.5000  4 In 3.56, 4 Ba 3.56

=====

(3)
DFT (PBE) results for a geometry-optimized AcEr2Sn structure.

Output
Energy of formation from the pure elements in eV per atom: -0.2779
Energy above the lowest structure with this stoichiometry in eV/f.u.: 0.14
Symmetry: P4/mmm (123)

Cell: 3.8446 3.8446 8.5792 Å, 90.00 90.00 90.00°
Closest atoms and distances in Å follow each position.
Element x y z (fractional)
Ac1 0.5000 0.5000 0.5000  8 Er 3.73, 4 Ac 3.84
Er1 0.0000 0.0000 0.2029  4 Sn 3.23, 1 Er 3.48
Er2 0.0000 0.0000 0.7971  4 Sn 3.23, 1 Er 3.48
Sn1 0.5000 0.5000 0.0000  8 Er 3.23

=====

(4)
DFT (PBE) results for a geometry-optimized Li6Pd2Pt structure.

Output
Energy of formation from the pure elements in eV per atom: -0.4304
Energy above the lowest structure with this stoichiometry in eV/f.u.: 0.05
Symmetry: R-3m (166)

Cell: 5.0086 5.0095 5.0095 Å, 93.42 93.40 93.40°
Closest atoms and distances in Å follow each position.
Element x y z (fractional)
Li1 0.8344 0.5000 0.1656  3 Li 2.41-2.44
Li2 0.5000 0.1656 0.8344  3 Li 2.42-2.44
Li3 0.1656 0.8344 0.5000  3 Li 2.41-2.44
Li4 0.1656 0.5000 0.8344  3 Li 2.41-2.44
Li5 0.5000 0.8344 0.1656  3 Li 2.42-2.44
Li6 0.8344 0.1656 0.5000  3 Li 2.41-2.44
Pd1 0.6669 0.6669 0.6669  1 Pt 2.71, 1 Pd 2.72, 12 Li 2.78-2.79
Pd2 0.3331 0.3331 0.3331  1 Pt 2.71, 1 Pd 2.72, 12 Li 2.78-2.79
Pt1 0.0000 0.0000 0.0000  2 Pd 2.71, 12 Li 2.78

=====

(5)
DFT (PBE) results for a geometry-optimized CdSi4Au structure.

Output
Formation energy from raw total energies in kJ per mole of atoms: 49.3
Symmetry: F-43m (216)

Cell: 5.2716 5.2716 5.2716 Å, 60.00 60.00 60.00°
Closest atoms and distances in Å follow each position.
Element x y z (fractional)
Si1 0.3748 0.3748 0.8757  6 Si 2.63-2.64
Si2 0.3748 0.8757 0.3748  6 Si 2.63-2.64
Si3 0.3748 0.3748 0.3748  6 Si 2.63-2.64
Si4 0.8757 0.3748 0.3748  6 Si 2.63-2.64
Au1 0.7500 0.7500 0.7500  12 Si 3.09, 4 Cd 3.23
Cd1 0.0000 0.0000 0.0000  12 Si 3.09, 4 Au 3.23

=====

(6)
DFT (PBE) results for a geometry-optimized Pr4Nd2In structure.

Output
Energy of formation from the pure elements in eV per atom: 0.3752
Energy above the lowest structure with this stoichiometry in eV/f.u.: 3.04
Symmetry: P-42m (111)

Cell: 4.8856 4.8856 11.2409 Å, 90.00 90.00 90.00°
Closest atoms and distances in Å follow each position.
Element x y z (fractional)
Pr1 0.7422 0.2578 0.7710  1 In 3.13, 3 Pr 3.35-3.46, 2 Nd 3.50
Pr2 0.2578 0.2578 0.2290  1 In 3.13, 3 Pr 3.35-3.46, 2 Nd 3.50
Pr3 0.7422 0.7422 0.2290  1 In 3.13, 3 Pr 3.35-3.46, 2 Nd 3.50
Pr4 0.2578 0.7422 0.7710  1 In 3.13, 3 Pr 3.35-3.46, 2 Nd 3.50
In1 0.0000 0.0000 0.0000  4 Pr 3.13
Nd1 0.5000 0.0000 0.5000  4 Nd 3.45, 4 Pr 3.50
Nd2 0.0000 0.5000 0.5000  4 Nd 3.45, 4 Pr 3.50

=====

(7)
DFT (PBE) results for a geometry-optimized CsZn3S structure.

Output
Formation energy from raw total energies in kJ per mole of atoms: 91.0
Energy above the lowest structure with this stoichiometry in eV/f.u.: 3.21
Symmetry: Pm-3m (221)

Cell: 6.9806 6.9806 6.9806 Å, 90.00 90.00 90.00°
Closest atoms and distances in Å follow each position.
Element x y z (fractional)
Cs1 0.0000 0.0000 0.0000  6 Zn 3.49
S1 0.5000 0.5000 0.5000  12 Zn 4.94
Zn1 0.0000 0.5000 0.0000  2 Cs 3.49
Zn2 0.0000 0.0000 0.5000  2 Cs 3.49
Zn3 0.5000 0.0000 0.0000  2 Cs 3.49

=====

(8)
DFT (PBE) results for a geometry-optimized NaPdF structure.

Output
Formation energy from raw total energies in kJ per mole of atoms: -94.5
Energy above the lowest structure with this stoichiometry in eV/f.u.: 1.46
Symmetry: P6_3/mmc (194)

Cell: 3.7024 3.7024 9.2005 Å, 90.00 90.00 120.00°
Closest atoms and distances in Å follow each position.
Element x y z (fractional)
Na1 0.3333 0.6667 0.2500  3 F 2.14
Na2 0.6667 0.3333 0.7500  3 F 2.14
F1 0.0000 0.0000 0.7500  3 Na 2.14, 2 Pd 2.30
F2 0.0000 0.0000 0.2500  3 Na 2.14, 2 Pd 2.30
Pd1 0.0000 0.0000 0.5000  2 F 2.30
Pd2 0.0000 0.0000 0.0000  2 F 2.30